Model P:
VASP calculation (PBE) on an optimized crystal structure of NaGeOs.

a = 3.047 Å, b = 4.452 Å, c = 8.115 Å
α = 90.00°, β = 90.00°, γ = 90.00°
Atoms (fractional coordinates):
Na  0.250  0.250  0.124
Na  0.750  0.750  0.876
Ge  0.250  0.250  0.706
Ge  0.750  0.750  0.294
Os  0.250  0.750  0.545
Os  0.750  0.250  0.455

## Properties
Total magnetic moment in μB per atom: 0.000
Fermi-level density of states in states/eV per cell: 3.17

=====

Model Q:
VASP calculation (PBE) on an optimized crystal structure of NaGeOs.

a = 2.852 Å, b = 5.448 Å, c = 7.662 Å
α = 109.44°, β = 90.31°, γ = 105.04°
Atoms (fractional coordinates):
Na  0.161  0.307  0.119
Na  0.839  0.693  0.881
Ge  0.447  0.900  0.280
Ge  0.553  0.100  0.720
Os  0.150  0.295  0.505
Os  0.850  0.705  0.495

## Properties
Total magnetic moment in μB per atom: 0.000
Fermi-level density of states in states/eV per cell: 1.67

=====

Model R:
VASP calculation (PBE) on an optimized crystal structure of NaGeOs.

a = 15.594 Å, b = 2.886 Å, c = 5.008 Å
α = 90.00°, β = 104.71°, γ = 90.00°
Atoms (fractional coordinates):
Na  0.065  0.000  0.297
Na  0.435  0.500  0.703
Na  0.565  0.500  0.297
Na  0.935  0.000  0.703
Ge  0.130  0.500  0.853
Ge  0.370  0.000  0.147
Ge  0.630  0.000  0.853
Ge  0.870  0.500  0.147
Os  0.247  0.000  0.715
Os  0.253  0.500  0.285
Os  0.747  0.500  0.715
Os  0.753  0.000  0.285

## Properties
Total magnetic moment in μB per atom: 0.000
Fermi-level density of states in states/eV per cell: 4.74

=====

Model S:
VASP calculation (PBE) on an optimized crystal structure of NaGeOs.

a = 2.862 Å, b = 3.863 Å, c = 10.771 Å
α = 90.00°, β = 90.00°, γ = 90.00°
Atoms (fractional coordinates):
Na  0.250  0.250  0.136
Na  0.750  0.750  0.864
Ge  0.250  0.250  0.681
Ge  0.750  0.750  0.319
Os  0.250  0.250  0.443
Os  0.750  0.750  0.557

## Properties
Total magnetic moment in μB per atom: 0.000
Fermi-level density of states in states/eV per cell: 3.01

=====

Computed energies relative to the best structure, in meV per atom: model P 49; model Q 0; model R 25; model S 120

=====

Model P:
VASP calculation (PBE) on an optimized crystal structure of NaGeOs.

a = 2.811 Å, b = 4.088 Å, c = 5.494 Å
α = 90.00°, β = 90.00°, γ = 90.00°
Atoms (fractional coordinates):
Na  0.000  0.000  0.000
Ge  0.000  0.500  0.500
Os  0.500  0.000  0.500

## Properties
Total magnetic moment in μB per atom: 0.000
Fermi-level density of states in states/eV per cell: 0.61

=====

Model Q:
VASP calculation (PBE) on an optimized crystal structure of NaGeOs.

a = 2.965 Å, b = 4.582 Å, c = 9.937 Å
α = 84.23°, β = 88.81°, γ = 71.16°
Atoms (fractional coordinates):
Na  0.176  0.202  0.152
Na  0.824  0.798  0.848
Ge  0.090  0.298  0.657
Ge  0.910  0.702  0.343
Os  0.363  0.765  0.559
Os  0.637  0.235  0.441

## Properties
Total magnetic moment in μB per atom: 0.000
Fermi-level density of states in states/eV per cell: 2.85

=====

Computed energies relative to the best structure, in meV per atom: model P 58; model Q 0